No. 1
Below is a geometry-optimized AcPm5Pb6 structure, with properties calculated at the PBE level.

Structure (extended XYZ):
```
12
Lattice="8.198 -4.606 0.000 8.198 4.606 0.000 -1.588 0.000 4.874" Properties=species:S:1:pos:R:3 pbc="T T T"
Ac 0.000 0.000 0.000
Pm 1.717 0.000 3.260
Pm 4.951 0.000 1.629
Pm 8.198 0.000 0.000
Pm 9.858 0.000 3.245
Pm 13.092 0.000 1.614
Pb 4.084 2.278 4.045
Pb 7.404 2.238 2.437
Pb 10.725 2.278 0.829
Pb 4.084 -2.278 4.045
Pb 7.404 -2.238 2.437
Pb 10.725 -2.278 0.829
```

Summary:
Its space group is C2/m, No. 12. The calculation puts the formation energy at -490 meV per atom. The total magnetic moment is 0.0 μB per cell. The energy above the lowest structure with this stoichiometry is 0 meV/atom.

---

No. 2
Below is a geometry-optimized AcPm2Pb3 structure, with properties calculated at the PBE level.

Structure (extended XYZ):
```
12
Lattice="5.044 0.000 0.000 0.000 10.471 0.000 0.000 0.000 7.659" Properties=species:S:1:pos:R:3 pbc="T T T"
Ac 0.000 0.868 0.000
Ac 0.000 9.603 3.830
Pm 0.000 2.962 3.829
Pm 0.000 7.509 7.658
Pm 2.522 5.216 1.880
Pm 2.522 5.256 5.709
Pb 0.000 4.279 7.612
Pb 0.000 6.193 3.782
Pb 2.522 1.595 2.271
Pb 2.522 1.595 5.388
Pb 2.522 8.876 1.559
Pb 2.522 8.876 6.100
```

Summary:
Its space group is Pmc2_1, No. 26. The calculation puts the formation energy at -490 meV per atom. The total magnetic moment is 0.0 μB per cell.

---

No. 3
Below is a geometry-optimized Ac2Pm3Pb3 structure, with properties calculated at the PBE level.

Structure (extended XYZ):
```
8
Lattice="-2.292 2.629 11.180 2.292 -2.629 11.180 2.292 2.629 -11.180" Properties=species:S:1:pos:R:3 pbc="T T T"
Ac 0.000 0.000 5.195
Ac 0.000 0.000 17.165
Pm 0.000 0.000 0.000
Pm 2.292 0.000 8.660
Pm 0.000 2.629 2.520
Pb 2.292 0.000 2.612
Pb 0.000 0.000 11.180
Pb 0.000 2.629 8.568
```

Summary:
Its space group is Immm, No. 71. The calculation puts the formation energy at -335 meV per atom. The total magnetic moment is 0.0 μB per cell.

---

No. 4
Below is a geometry-optimized AcPm4Pb2 structure, with properties calculated at the PBE level.

Structure (extended XYZ):
```
7
Lattice="-2.316 2.316 12.623 2.316 -2.316 12.623 2.316 2.316 -12.623" Properties=species:S:1:pos:R:3 pbc="T T T"
Ac 0.000 0.000 0.000
Pm 0.000 0.000 3.477
Pm 2.316 0.000 6.312
Pm 0.000 2.316 6.312
Pm 0.000 0.000 21.769
Pb 0.000 0.000 8.943
Pb 0.000 0.000 16.304
```

Summary:
Its space group is I4/mmm, No. 139. The calculation puts the formation energy at -24 meV per atom. The total magnetic moment is 0.0 μB per cell.

---

No. 5
Below is a geometry-optimized Ac2PmPb3 structure, with properties calculated at the PBE level.

Structure (extended XYZ):
```
6
Lattice="-1.899 3.059 9.544 1.899 -3.059 9.544 1.899 3.059 -9.544" Properties=species:S:1:pos:R:3 pbc="T T T"
Ac 0.000 0.000 2.935
Ac 0.000 0.000 16.153
Pm 0.000 0.000 9.544
Pb 1.899 0.000 0.000
Pb 0.000 0.000 6.350
Pb 0.000 0.000 12.738
```

Summary:
Its space group is Immm, No. 71. The calculation puts the formation energy at -347 meV per atom. The total magnetic moment is 0.3 μB per cell. The energy above the lowest structure with this stoichiometry is 124 meV/atom.

---

No. 6
Below is a geometry-optimized AcPm6Pb6 structure, with properties calculated at the PBE level.

Structure (extended XYZ):
```
13
Lattice="7.378 0.000 0.000 -3.689 6.390 0.000 0.000 0.000 9.627" Properties=species:S:1:pos:R:3 pbc="T T T"
Ac 0.000 0.000 0.000
Pm -1.845 3.195 2.436
Pm -1.845 3.195 7.191
Pm 3.689 0.000 2.436
Pm 3.689 0.000 7.191
Pm 1.845 3.195 2.436
Pm 1.845 3.195 7.191
Pb 0.000 0.000 3.292
Pb 0.000 0.000 6.334
Pb 0.000 4.260 0.000
Pb 0.000 4.260 4.813
Pb 3.689 2.130 0.000
Pb 3.689 2.130 4.813
```

Summary:
Its space group is P6/mmm, No. 191. The calculation puts the formation energy at -344 meV per atom. The total magnetic moment is 0.0 μB per cell.

---

No. 7
Below is a geometry-optimized Ac2Pm5Pb3 structure, with properties calculated at the PBE level.

Structure (extended XYZ):
```
20
Lattice="-6.205 8.684 3.458 6.205 -8.684 3.458 6.205 8.684 -3.458" Properties=species:S:1:pos:R:3 pbc="T T T"
Ac 2.859 1.858 0.000
Ac 2.859 -1.858 3.458
Ac 3.345 10.542 0.000
Ac 3.345 6.825 3.458
Pm 6.205 -3.300 1.729
Pm 5.187 -6.166 3.458
Pm 6.205 0.000 1.729
Pm 5.187 6.166 0.000
Pm 6.205 3.300 1.729
Pm 0.000 5.383 1.729
Pm 1.018 2.518 3.458
Pm 0.000 8.684 1.729
Pm 1.018 14.849 0.000
Pm 0.000 11.984 1.729
Pb 8.458 1.567 0.000
Pb 0.000 0.000 1.729
Pb 2.253 7.117 0.000
Pb 3.952 1.567 3.458
Pb 0.000 0.000 5.187
Pb -2.253 7.117 3.458
```

Summary:
Its space group is Ibam, No. 72. The calculation puts the formation energy at -186 meV per atom. The total magnetic moment is 0.0 μB per cell.

---

No. 8
Below is a geometry-optimized Ac7PmPb2 structure, with properties calculated at the PBE level.

Structure (extended XYZ):
```
10
Lattice="5.121 -8.460 0.000 5.121 8.460 0.000 0.000 0.000 5.937" Properties=species:S:1:pos:R:3 pbc="T T T"
Ac 0.000 0.000 0.000
Ac 3.242 2.081 0.000
Ac 5.121 3.909 2.969
Ac 3.242 -2.081 0.000
Ac 7.000 2.081 0.000
Ac 5.121 -3.909 2.969
Ac 7.000 -2.081 0.000
Pm 5.121 0.000 2.969
Pb 5.121 5.187 0.000
Pb 5.121 -5.187 0.000
```

Summary:
Its space group is Cmmm, No. 65. The calculation puts the formation energy at 229 meV per atom. The total magnetic moment is 0.0 μB per cell.

---

Which N(E_F) belongs to each record? In order, 11.88; 6.55; 8.61; 7.45; 4.27; 14.46; 26.84; 21.11 states/eV per cell.